Below is crystalline UTl2CuTe4 at its relaxed geometry, with properties calculated at the PBE level.

Magnetic moment = 2.33 μB/cell
Formation energy from raw total energies = -1.9 eV/f.u.
Density of states at the Fermi level = 1.12 states/eV per atom

CIF file:
```
data_UTl2CuTe4
_cell_length_a 8.108
_cell_length_b 8.108
_cell_length_c 7.339
_cell_angle_alpha 90.00
_cell_angle_beta 90.00
_cell_angle_gamma 90.00
_symmetry_space_group_name_H-M 'I -4 2 m'
_symmetry_Int_Tables_number 121
_symmetry_space_group_name_Hall 'I -4 2'
loop_
_atom_site_label
_atom_site_fract_x
_atom_site_fract_y
_atom_site_fract_z
_atom_site_occupancy
U1 0.000 0.000 0.000 1
Tl1 0.000 0.500 0.000 1
Cu1 0.000 0.000 0.500 1
Te1 0.184 0.184 0.286 1
```